<1>
## NiRh4 (SCAN)

Data for NiRh4 at its PBEsol-relaxed geometry.

Values from the calculation:
**Space-group type**: R-3m
**ρ**: 12042 kg/m³
**Calculated volume**: 12.971 A^3/atom

a b c (Å): 2.653 2.653 10.752
angles (deg): 82.91 82.91 60.00
Fractional coordinates of all 5 atoms:
Rh: 0.799 0.799 0.603
Rh: 0.397 0.397 0.808
Rh: 0.603 0.603 0.192
Rh: 0.201 0.201 0.397
Ni: 0.000 0.000 0.000


<2>
## NiRh4 (SCAN)

Data for NiRh4 at its PBEsol-relaxed geometry.

Values from the calculation:
**Space-group type**: I4/m
**ρ**: 12079 kg/m³
**Calculated volume**: 12.931 A^3/atom

a b c (Å): 3.719 4.565 4.565
angles (deg): 80.45 65.96 65.96
Fractional coordinates of all 5 atoms:
Rh: 0.601 0.601 0.197
Rh: 0.399 0.399 0.803
Rh: 0.798 0.803 0.601
Rh: 0.202 0.197 0.399
Ni: 0.000 0.000 0.000


<3>
## NiRh4 (SCAN)

Data for NiRh4 at its PBEsol-relaxed geometry.

Values from the calculation:
**Space-group type**: Immm
**ρ**: 12070 kg/m³
**Calculated volume**: 12.941 A^3/atom

a b c (Å): 2.654 3.708 6.958
angles (deg): 105.45 101.00 90.00
Fractional coordinates of all 5 atoms:
Ni: 0.000 0.000 0.000
Rh: 0.596 0.596 0.193
Rh: 0.801 0.801 0.603
Rh: 0.404 0.404 0.807
Rh: 0.199 0.199 0.397


Order from most stable to least stable according to the calculation: <1>, <3>, <2>


<1>
## NiRuRh2 (SCAN)

Data for NiRuRh2 at its PBEsol-relaxed geometry.

Values from the calculation:
**Space-group type**: P4mm
**ρ**: 11947 kg/m³
**Calculated volume**: 12.703 A^3/atom

a b c (Å): 2.644 2.644 7.271
angles (deg): 90.00 90.00 90.00
Fractional coordinates of all 4 atoms:
Ni: 0.500 0.500 0.747
Ru: 0.000 0.000 0.510
Rh: 0.000 0.000 0.989
Rh: 0.500 0.500 0.254


<2>
## NiRuRh2 (SCAN)

Data for NiRuRh2 at its PBEsol-relaxed geometry.

Values from the calculation:
**Space-group type**: P4/mmm
**ρ**: 11907 kg/m³
**Calculated volume**: 12.746 A^3/atom

a b c (Å): 2.650 2.650 7.262
angles (deg): 90.00 90.00 90.00
Fractional coordinates of all 4 atoms:
Rh: 0.000 0.000 0.744
Rh: 0.000 0.000 0.256
Ru: 0.500 0.500 0.000
Ni: 0.500 0.500 0.500


Order from most stable to least stable according to the calculation: <2>, <1>


<1>
## NiRuRh2 (SCAN)

Data for NiRuRh2 at its PBEsol-relaxed geometry.

Values from the calculation:
**Space-group type**: I4/mmm
**ρ**: 11926 kg/m³
**Calculated volume**: 12.725 A^3/atom

a b c (Å): 3.689 3.689 4.561
angles (deg): 113.85 113.85 90.00
Fractional coordinates of all 4 atoms:
Rh: 0.750 0.250 0.500
Rh: 0.250 0.750 0.500
Ru: 0.500 0.500 0.000
Ni: 0.000 0.000 0.000


<2>
## NiRuRh2 (SCAN)

Data for NiRuRh2 at its PBEsol-relaxed geometry.

Values from the calculation:
**Space-group type**: Pmm2
**ρ**: 11903 kg/m³
**Calculated volume**: 12.750 A^3/atom

a b c (Å): 2.642 3.688 5.234
angles (deg): 90.00 90.00 90.00
Fractional coordinates of all 4 atoms:
Ru: 0.500 0.000 0.506
Rh: 0.000 0.500 0.258
Rh: 0.500 0.000 0.989
Ni: 0.000 0.500 0.747


<3>
## NiRuRh2 (SCAN)

Data for NiRuRh2 at its PBEsol-relaxed geometry.

Values from the calculation:
**Space-group type**: Cm
**ρ**: 11880 kg/m³
**Calculated volume**: 12.774 A^3/atom

a b c (Å): 2.643 4.523 4.541
angles (deg): 99.85 106.92 90.00
Fractional coordinates of all 4 atoms:
Ru: 0.498 0.500 0.996
Rh: 0.249 0.740 0.498
Rh: 0.002 0.010 0.004
Ni: 0.751 0.250 0.502


<4>
## NiRuRh2 (SCAN)

Data for NiRuRh2 at its PBEsol-relaxed geometry.

Values from the calculation:
**Space-group type**: C2/m
**ρ**: 11906 kg/m³
**Calculated volume**: 12.747 A^3/atom

a b c (Å): 2.632 4.522 4.546
angles (deg): 99.64 106.83 90.00
Fractional coordinates of all 4 atoms:
Rh: 0.251 0.252 0.502
Rh: 0.749 0.748 0.498
Ru: 0.500 0.000 0.000
Ni: 0.000 0.500 0.000


Order from most stable to least stable according to the calculation: <1>, <4>, <2>, <3>


<1>
## NiRuRh2 (SCAN)

Data for NiRuRh2 at its PBEsol-relaxed geometry.

Values from the calculation:
**Space-group type**: R-3m
**ρ**: 11855 kg/m³
**Calculated volume**: 12.802 A^3/atom

a b c (Å): 2.645 2.645 8.588
angles (deg): 81.14 81.14 60.00
Fractional coordinates of all 4 atoms:
Rh: 0.251 0.251 0.246
Rh: 0.749 0.749 0.754
Ru: 0.500 0.500 0.500
Ni: 0.000 0.000 0.000


<2>
## NiRuRh2 (SCAN)

Data for NiRuRh2 at its PBEsol-relaxed geometry.

Values from the calculation:
**Space-group type**: I-4m2
**ρ**: 11909 kg/m³
**Calculated volume**: 12.743 A^3/atom

a b c (Å): 3.680 3.680 4.576
angles (deg): 113.70 113.70 90.00
Fractional coordinates of all 4 atoms:
Ni: 0.250 0.750 0.500
Ru: 0.500 0.500 0.000
Rh: 0.000 0.000 0.000
Rh: 0.750 0.250 0.500


Order from most stable to least stable according to the calculation: <1>, <2>


<1>
## NiRuRh2 (SCAN)

Data for NiRuRh2 at its PBEsol-relaxed geometry.

Values from the calculation:
**Space-group type**: Pmmm
**ρ**: 11918 kg/m³
**Calculated volume**: 12.733 A^3/atom

a b c (Å): 2.649 3.680 5.225
angles (deg): 90.00 90.00 90.00
Fractional coordinates of all 4 atoms:
Ni: 0.500 0.500 0.500
Rh: 0.000 0.000 0.746
Rh: 0.000 0.000 0.254
Ru: 0.500 0.500 0.000


<2>
## NiRuRh2 (SCAN)

Data for NiRuRh2 at its PBEsol-relaxed geometry.

Values from the calculation:
**Space-group type**: R3m
**ρ**: 11856 kg/m³
**Calculated volume**: 12.800 A^3/atom

a b c (Å): 2.640 2.640 8.618
angles (deg): 81.19 81.19 60.00
Fractional coordinates of all 4 atoms:
Rh: 0.997 0.997 0.008
Rh: 0.751 0.751 0.746
Ru: 0.502 0.502 0.493
Ni: 0.249 0.249 0.253


Order from most stable to least stable according to the calculation: <1>, <2>


<1>
## Ni2RuRh (SCAN)

Data for Ni2RuRh at its PBEsol-relaxed geometry.

Values from the calculation:
**Space-group type**: P4mm
**ρ**: 11153 kg/m³
**Calculated volume**: 11.962 A^3/atom

a b c (Å): 2.612 2.612 7.014
angles (deg): 90.00 90.00 90.00
Fractional coordinates of all 4 atoms:
Ru: 0.500 0.500 0.760
Ni: 0.000 0.000 0.007
Ni: 0.500 0.500 0.239
Rh: 0.000 0.000 0.494


<2>
## Ni2RuRh (SCAN)

Data for Ni2RuRh at its PBEsol-relaxed geometry.

Values from the calculation:
**Space-group type**: I-4m2
**ρ**: 11209 kg/m³
**Calculated volume**: 11.902 A^3/atom

a b c (Å): 3.582 3.582 4.493
angles (deg): 113.49 113.49 90.00
Fractional coordinates of all 4 atoms:
Rh: 0.000 0.000 0.000
Ru: 0.250 0.750 0.500
Ni: 0.500 0.500 0.000
Ni: 0.750 0.250 0.500


Order from most stable to least stable according to the calculation: <2>, <1>